# 1
{
  "formula": "Sc2GaB",
  "functional": "PBE",
  "state": "relaxed",
  "cell": [[0.0000, 3.1792, 3.1792], [3.1792, 0.0000, 3.1792], [3.1792, 3.1792, 0.0000]],
  "species": ["Sc", "Sc", "Ga", "B"],
  "frac_coords": [[0.2500, 0.2500, 0.2500], [0.7500, 0.7500, 0.7500], [0.0000, 0.0000, 0.0000], [0.5000, 0.5000, 0.5000]],
  "delta_e_f_mev_per_atom": -119.6,
  "spacegroup": "Fm-3m, No. 225",
  "e_above_lowest_polymorph_mev_per_atom": 0
}

# 2
{
  "formula": "Ta6Co5Ni",
  "functional": "PBE",
  "state": "relaxed",
  "cell": [[4.5560, 0.0000, 0.0000], [-0.0055, 5.6431, 0.0000], [-0.7360, -2.8138, 6.6624]],
  "species": ["Ta", "Ta", "Ta", "Ta", "Ta", "Ta", "Co", "Co", "Co", "Co", "Co", "Ni"],
  "frac_coords": [[0.9997, 0.2487, 0.0001], [0.0003, 0.7513, 0.9999], [0.3301, 0.0816, 0.6644], [0.3299, 0.5828, 0.6641], [0.6701, 0.4172, 0.3359], [0.6699, 0.9184, 0.3356], [0.1665, 0.6650, 0.3299], [0.1695, 0.1657, 0.3316], [0.5000, 0.0000, 0.0000], [0.8305, 0.8343, 0.6684], [0.8335, 0.3350, 0.6701], [0.5000, 0.5000, 0.0000]],
  "delta_e_f_mev_per_atom": -127.3,
  "spacegroup": "P-1, No. 2"
}

# 3
{
  "formula": "HfBe3P",
  "functional": "PBE",
  "state": "relaxed",
  "cell": [[4.0870, 0.0000, 0.0000], [0.0000, 4.0870, 0.0000], [0.0000, 0.0000, 4.0870]],
  "species": ["Hf", "Be", "Be", "Be", "P"],
  "frac_coords": [[0.0000, 0.0000, 0.0000], [0.0000, 0.5000, 0.5000], [0.5000, 0.0000, 0.5000], [0.5000, 0.5000, 0.0000], [0.5000, 0.5000, 0.5000]],
  "delta_e_f_mev_per_atom": 532.5,
  "spacegroup": "Pm-3m, No. 221",
  "e_above_lowest_polymorph_mev_per_atom": 0
}

For the records above, the corresponding DFT total energy values read -22.85 -113.95 -23.88 eV for the cell shown.
For the records above, the corresponding density of states at the Fermi level values read 1.24 11.23 2.33 states/eV/cell.